1.
DFT (PBE) results for crystalline BaGa6Ir2 at its relaxed geometry.

Computed properties:
DOS at the Fermi energy: 0.193 states/eV/atom
calculated total energy: -4.33 eV/atom
space-group type: No. 227

Cell: 9.3452 9.3452 9.3452 Å, 60.00 60.00 60.00°
With the nearest neighbours (Å) after each atom.
Fractional positions:
Ga 0.8286 0.1714 0.1714  2 Ir 2.42
Ga 0.0786 0.4214 0.0786  2 Ir 2.42
Ga 0.4214 0.0786 0.4214  2 Ir 2.42
Ga 0.1714 0.8286 0.8286  2 Ir 2.42
Ga 0.1714 0.8286 0.1714  2 Ir 2.42
Ga 0.4214 0.0786 0.0786  2 Ir 2.42
Ga 0.1714 0.1714 0.8286  2 Ir 2.42
Ga 0.4214 0.4214 0.0786  2 Ir 2.42
Ga 0.0786 0.0786 0.4214  2 Ir 2.42
Ga 0.8286 0.1714 0.8286  2 Ir 2.42
Ga 0.0786 0.4214 0.4214  2 Ir 2.42
Ga 0.8286 0.8286 0.1714  2 Ir 2.42
Ir 0.1250 0.1250 0.1250  6 Ga 2.42
Ir 0.6250 0.1250 0.1250  6 Ga 2.42
Ir 0.1250 0.1250 0.6250  6 Ga 2.42
Ir 0.1250 0.6250 0.1250  6 Ga 2.42
Ba 0.5000 0.5000 0.5000  18 Ga 4.34-4.79
Ba 0.7500 0.7500 0.7500  18 Ga 4.34-4.79

***

2.
DFT (PBE) results for crystalline Pr3PuTl4 at its relaxed geometry.

Computed properties:
DOS at the Fermi energy: 1.841 states/eV/atom
calculated total energy: -5.05 eV/atom
space-group type: No. 123

Cell: 3.6532 3.6532 17.7390 Å, 90.00 90.00 90.00°
With the nearest neighbours (Å) after each atom.
Fractional positions:
Pr 0.5000 0.5000 0.7507  8 Tl 3.40-3.43, 4 Pr 3.65
Pr 0.5000 0.5000 0.5000  8 Tl 3.41, 4 Pr 3.65
Pr 0.5000 0.5000 0.2493  8 Tl 3.40-3.43, 4 Pr 3.65
Tl 0.0000 0.0000 0.3743  8 Pr 3.40-3.41, 4 Tl 3.65
Tl 0.0000 0.0000 0.6257  8 Pr 3.40-3.41, 4 Tl 3.65
Tl 0.0000 0.0000 0.1223  4 Pu 3.37, 4 Pr 3.43, 4 Tl 3.65
Tl 0.0000 0.0000 0.8777  4 Pu 3.37, 4 Pr 3.43, 4 Tl 3.65
Pu 0.5000 0.5000 0.0000  8 Tl 3.37, 4 Pu 3.65

***

3.
DFT (PBE) results for crystalline LiPmCl4 at its relaxed geometry.

Computed properties:
DOS at the Fermi energy: 0.000 states/eV/atom
energy above the most stable polymorph in this dataset: 0.00 eV/f.u.
space-group type: No. 15
formation energy from raw total energies: -2.122 eV/atom

Cell: 6.5794 6.5783 8.1582 Å, 113.79 113.80 89.96°
With the nearest neighbours (Å) after each atom.
Fractional positions:
Cl 0.3278 0.9640 0.5904  1 Li 2.41
Cl 0.6722 0.0360 0.4096  1 Li 2.41
Cl 0.6267 0.3278 0.0904  1 Li 2.42
Cl 0.2375 0.3736 0.4096  1 Li 2.41
Cl 0.0363 0.2374 0.9096  1 Li 2.42
Cl 0.7625 0.6264 0.5904  1 Li 2.41
Cl 0.3733 0.6722 0.9096  1 Li 2.42
Cl 0.9637 0.7626 0.0904  1 Li 2.42
Li 0.1248 0.8748 0.7495  4 Cl 2.41-2.42
Li 0.8752 0.1252 0.2505  4 Cl 2.41-2.42
Pm 0.3750 0.6250 0.2499  8 Cl 2.82-2.91
Pm 0.6250 0.3750 0.7501  8 Cl 2.82-2.91

***

4.
DFT (PBE) results for crystalline Pr2PdO at its relaxed geometry.

Computed properties:
DOS at the Fermi energy: 0.695 states/eV/atom
energy above the most stable polymorph in this dataset: 1.43 eV/f.u.
space-group type: No. 123
formation energy from raw total energies: -1.225 eV/atom

Cell: 3.3028 3.3028 7.2221 Å, 90.00 90.00 90.00°
With the nearest neighbours (Å) after each atom.
Fractional positions:
Pr 0.0000 0.0000 0.2227  4 O 2.84, 4 Pd 3.08
Pr 0.0000 0.0000 0.7773  4 O 2.84, 4 Pd 3.08
O 0.5000 0.5000 0.0000  8 Pr 2.84
Pd 0.5000 0.5000 0.5000  8 Pr 3.08, 4 Pd 3.30

***

5.
DFT (PBE) results for crystalline La8Co2Os at its relaxed geometry.

Computed properties:
DOS at the Fermi energy: 1.071 states/eV/atom
calculated total energy: -5.98 eV/atom
space-group type: No. 12

Cell: 3.9594 9.0838 9.8030 Å, 92.94 101.65 90.00°
With the nearest neighbours (Å) after each atom.
Fractional positions:
La 0.6034 0.5488 0.2069  2 Co 2.70
La 0.6486 0.9551 0.2971  1 Os 2.90, 2 Co 2.99
La 0.2268 0.3350 0.4536  2 Co 2.93
La 0.9868 0.7854 0.9735  2 Os 2.78
La 0.3966 0.4512 0.7931  2 Co 2.70
La 0.7732 0.6650 0.5464  2 Co 2.93
La 0.3514 0.0449 0.7029  1 Os 2.90, 2 Co 2.99
La 0.0132 0.2146 0.0265  2 Os 2.78
Co 0.8360 0.2875 0.6721  6 La 2.70-2.99
Co 0.1640 0.7125 0.3279  6 La 2.70-2.99
Os 0.5000 0.0000 0.0000  6 La 2.78-2.90

***

6.
DFT (PBE) results for crystalline Na3MnN at its relaxed geometry.

Computed properties:
DOS at the Fermi energy: 2.248 states/eV/atom
energy above the most stable polymorph in this dataset: 5.16 eV/f.u.
space-group type: No. 221
formation energy from raw total energies: 1.756 eV/atom

Cell: 5.4864 5.4864 5.4864 Å, 90.00 90.00 90.00°
With the nearest neighbours (Å) after each atom.
Fractional positions:
N 0.5000 0.5000 0.5000  12 Na 3.88
Na 0.5000 0.0000 0.0000  2 Mn 2.74
Na 0.0000 0.0000 0.5000  2 Mn 2.74
Na 0.0000 0.5000 0.0000  2 Mn 2.74
Mn 0.0000 0.0000 0.0000  6 Na 2.74